Below is a relaxed structure of In2SbAs, with properties calculated at the PBE-GGA level.

Output
**Space group**: Fm-3m
**Energy above the most stable polymorph in this dataset**: 33.22 kJ per mole of atoms
**Total moment**: 0.00 μB per atom
**Energy relative to the elements, uncorrected**: 173 meV per atom

Lattice parameters (Å, degrees): 5.2169 5.2169 5.2169 60.00 60.00 60.00
Fractional positions:
1 Sb 0.5000 0.5000 0.5000
2 As 0.0000 0.0000 0.0000
3 In 0.2500 0.2500 0.2500
4 In 0.7500 0.7500 0.7500